(1)
This record from Alexandria via LeMat-Bulk describes a PBEsol-optimized structure of K2AlTl. The functional is SCAN.

abc: 4.7691 6.1219 6.2904
angles: 119.12 112.28 90.00
Closest atoms and distances in Å follow each position.
Fractional positions:
1 Tl 0.5651 0.0651 0.1301  2 Al 2.65
2 K 0.9715 0.4715 0.9431  4 K 3.59-3.89, 4 Al 3.70-3.74, 4 Tl 3.99
3 K 0.7823 0.7823 0.5645  4 K 3.59-3.89, 4 Tl 3.68-3.74, 5 Al 3.95-4.01
4 Al 0.1812 0.1812 0.3623  2 Tl 2.65

The density comes out at 3.6 g cm⁻³. Its crystal system is orthorhombic. Its total moment is 0.00 Bohr magnetons per cell. The excess energy over the best structure of this formula in the dataset is 0 meV/atom. The value obtained for the calculated formation energy is -28 meV per atom. As for the density of states at the Fermi level: 0.9 states/eV/f.u.



(2)
This record from Alexandria via LeMat-Bulk describes a PBEsol-optimized structure of KAl2Tl. The functional is SCAN.

abc: 3.1597 4.0077 8.0646
angles: 90.00 90.06 90.00
Closest atoms and distances in Å follow each position.
Fractional positions:
1 Tl 0.5016 0.5000 0.8030  5 Al 3.00-3.16, 2 Tl 3.16
2 K 0.0003 0.0000 0.4886  2 K 3.16
3 Al 0.9993 0.0000 0.0328  4 Al 2.80
4 Al 0.4988 0.5000 0.1756  4 Al 2.80, 1 Tl 3.00

The density comes out at 4.8 g cm⁻³. Its crystal system is monoclinic. Its total moment is 0.00 Bohr magnetons per cell. The excess energy over the best structure of this formula in the dataset is 0 meV/atom. The value obtained for the calculated formation energy is 81 meV per atom. As for the density of states at the Fermi level: 2.0 states/eV/f.u.



(3)
This record from Alexandria via LeMat-Bulk describes a PBEsol-optimized structure of K2AlTl. The functional is SCAN.

abc: 6.0927 7.4577 7.4577
angles: 80.39 65.89 65.89
Closest atoms and distances in Å follow each position.
Fractional positions:
1 Tl 0.7500 0.5000 0.5000  2 Al 3.05
2 Tl 0.0000 0.0000 0.0000  2 Al 3.05
3 K 0.1298 0.9952 0.4952  2 K 3.05
4 K 0.6202 0.0048 0.5048  2 K 3.05
5 K 0.3750 0.4952 0.0048  2 K 3.05
6 K 0.8750 0.5048 0.9952  2 K 3.05
7 Al 0.2500 0.5000 0.5000  2 Tl 3.05
8 Al 0.5000 0.0000 0.0000  2 Tl 3.05

The density comes out at 3.6 g cm⁻³. Its crystal system is tetragonal. Its total moment is 0.00 Bohr magnetons per cell. The excess energy over the best structure of this formula in the dataset is 324 meV/atom. The value obtained for the calculated formation energy is 297 meV per atom. As for the density of states at the Fermi level: 2.4 states/eV/f.u.



(4)
This record from Alexandria via LeMat-Bulk describes a PBEsol-optimized structure of K2AlTl. The functional is SCAN.

abc: 4.7816 4.7816 6.5653
angles: 111.36 111.36 90.00
Closest atoms and distances in Å follow each position.
Fractional positions:
1 Tl 0.5000 0.5000 0.0000  4 Al 3.38, 8 K 3.69
2 K 0.7500 0.2500 0.5000  4 K 3.38, 4 Tl 3.69, 4 Al 3.69
3 K 0.2500 0.7500 0.5000  4 K 3.38, 4 Tl 3.69, 4 Al 3.69
4 Al 0.0000 0.0000 0.0000  4 Tl 3.38, 8 K 3.69

The density comes out at 4.0 g cm⁻³. Its crystal system is tetragonal. Its total moment is 0.05 Bohr magnetons per cell. The excess energy over the best structure of this formula in the dataset is 239 meV/atom. The value obtained for the calculated formation energy is 211 meV per atom. As for the density of states at the Fermi level: 1.6 states/eV/f.u.



(5)
This record from Alexandria via LeMat-Bulk describes a PBEsol-optimized structure of K2AlTl. The functional is SCAN.

abc: 4.5450 4.9988 5.6645
angles: 90.00 90.00 90.00
Closest atoms and distances in Å follow each position.
Fractional positions:
1 Tl 0.5000 0.0000 0.5000  4 Al 3.38, 8 K 3.63-3.78
2 K 0.0000 0.0000 0.0000  4 K 3.38, 4 Tl 3.63, 4 Al 3.78
3 K 0.5000 0.5000 0.0000  4 K 3.38, 4 Al 3.63, 4 Tl 3.78
4 Al 0.0000 0.5000 0.5000  4 Tl 3.38, 8 K 3.63-3.78

The density comes out at 4.0 g cm⁻³. Its crystal system is orthorhombic. Its total moment is 0.31 Bohr magnetons per cell. The excess energy over the best structure of this formula in the dataset is 256 meV/atom. The value obtained for the calculated formation energy is 228 meV per atom. As for the density of states at the Fermi level: 2.5 states/eV/f.u.



(6)
This record from Alexandria via LeMat-Bulk describes a PBEsol-optimized structure of KAl3Tl. The functional is SCAN.

abc: 5.4610 5.4610 5.4610
angles: 90.00 90.00 90.00
Closest atoms and distances in Å follow each position.
Fractional positions:
1 Tl 0.0000 0.0000 0.0000  6 Al 2.73
2 K 0.5000 0.5000 0.5000  12 Al 3.86
3 Al 0.0000 0.5000 0.0000  2 Tl 2.73
4 Al 0.0000 0.0000 0.5000  2 Tl 2.73
5 Al 0.5000 0.0000 0.0000  2 Tl 2.73

The density comes out at 3.3 g cm⁻³. Its crystal system is cubic. Its total moment is 0.00 Bohr magnetons per cell. The value obtained for the calculated formation energy is 689 meV per atom. As for the density of states at the Fermi level: 2.7 states/eV/f.u.